! HgPtBr2, relaxed, DFT PBE; values from VASP
&SYSTEM
  ibrav = 0, nat = 4, ntyp = 3
/
ATOMIC_SPECIES
Hg 200.59 Hg.upf
Pt 195.08 Pt.upf
Br 79.90 Br.upf
CELL_PARAMETERS angstrom
6.312 -1.811 0.000
6.312 1.811 0.000
-4.486 0.000 6.079
ATOMIC_POSITIONS crystal
Hg 0.000 0.000 0.000
Pt 0.500 0.500 0.500
Br 0.164 0.164 0.665
Br 0.836 0.836 0.335
! * E_tot: -10.1 eV per cell
! * ΔE_f (raw): -0.11 eV per atom